No. 1
Dy5SnIr4: relaxed, PBE.

The structure in POSCAR format:
```
Dy5SnIr4
1.0
3.335 0.000 0.000
0.000 3.335 0.000
0.000 0.000 19.267
Sn Ir Dy
1 4 5
Direct
0.000 0.000 0.000
0.000 0.000 0.783
0.000 0.000 0.406
0.000 0.000 0.217
0.000 0.000 0.594
0.500 0.500 0.873
0.500 0.500 0.313
0.500 0.500 0.687
0.500 0.500 0.500
0.500 0.500 0.127
```

Final energy (eV per atom): -7.04

No. 2
Dy8Sn2Ir3: relaxed, PBE.

The structure in POSCAR format:
```
Dy8Sn2Ir3
1.0
-2.995 4.861 -3.807
-6.116 -4.414 -0.825
1.215 3.304 8.204
Dy Ir Sn
8 3 2
Direct
0.017 0.358 0.717
0.081 0.911 0.823
0.405 0.350 0.202
0.405 0.852 0.202
0.919 0.089 0.177
0.595 0.148 0.798
0.983 0.642 0.283
0.595 0.650 0.798
0.000 0.699 0.000
0.500 0.000 0.000
0.000 0.301 0.000
0.668 0.750 0.501
0.332 0.250 0.499
```

Final energy (eV per atom): -6.04

No. 3
Dy3Sn2Ir: relaxed, PBE.

The structure in POSCAR format:
```
Dy3Sn2Ir
1.0
-2.756 -3.213 1.121
1.486 -4.907 -10.408
9.493 -6.586 4.460
Dy Sn Ir
12 8 4
Direct
0.250 0.130 0.554
0.750 0.290 0.756
0.250 0.044 0.881
0.250 0.370 0.054
0.750 0.956 0.119
0.250 0.790 0.744
0.250 0.456 0.381
0.750 0.210 0.256
0.750 0.544 0.619
0.750 0.630 0.946
0.250 0.710 0.244
0.750 0.870 0.446
0.250 0.001 0.313
0.250 0.499 0.813
0.750 0.999 0.687
0.750 0.501 0.187
0.750 0.193 0.995
0.250 0.693 0.505
0.750 0.307 0.495
0.250 0.807 0.005
0.250 0.130 0.125
0.750 0.630 0.375
0.250 0.370 0.625
0.750 0.870 0.875
```

Final energy (eV per atom): -5.90

No. 4
DySn2Ir: relaxed, PBE.

The structure in POSCAR format:
```
DySn2Ir
1.0
-1.048 3.120 0.506
-1.189 1.790 -2.544
-10.219 -1.865 1.283
Ir Dy Sn
1 1 2
Direct
0.500 0.500 0.500
0.000 0.000 0.000
0.898 0.898 0.306
0.102 0.102 0.694
```

Final energy (eV per atom): -5.27

Going through the records in order, we get calculated volume values of 214.3; 395.8; 629.3; 98.8 Å³ per cell.
Going through the records in order, we get DOS(E_F) values of 0.26; 0.59; 0.47; 1.23 states/eV/atom.
Going through the records in order, we get energy of formation values of -7.9; -7.1; -4.7; 0.4 eV per formula unit.